Entry 1:
Computed, not measured: a relaxed structure of NaGeTe3 at the PBE level of DFT.

Cell and atoms, written as POSCAR:
```
NaGeTe3
1.0
-0.5830 -1.1292 6.5857
-5.0860 -0.9354 -4.1977
2.6120 -8.4959 -2.5684
Te Na Ge
6 2 2
Direct
0.0669 0.4794 0.2422
0.6484 0.8294 0.0215
0.3516 0.1706 0.9785
0.9331 0.5206 0.7578
0.2211 0.1967 0.4702
0.7789 0.8033 0.5299
0.4750 0.9483 0.7018
0.5250 0.0517 0.2982
0.9824 0.7300 0.0108
0.0176 0.2700 0.9892
```

Properties
Calculated volume: 34.72 A^3/atom
Total magnetization: 0.00 μB per formula unit
Calculated total energy: -3.342 eV/atom
Formation energy from raw total energies: -0.270 eV/atom
Fermi-level density of states: 0.121 states/eV per atom

***

Entry 2:
Computed, not measured: a relaxed structure of Na2Ge2Te5 at the PBE level of DFT.

Cell and atoms, written as POSCAR:
```
Na2Ge2Te5
1.0
5.3837 0.0000 0.0000
-2.6919 8.3778 -1.1644
0.0000 -2.6549 7.3944
Ge Na Te
2 2 5
Direct
0.8394 0.6788 0.0559
0.1606 0.3212 0.9441
0.4501 0.9002 0.7152
0.5499 0.0998 0.2848
0.6720 0.3440 0.0587
0.3280 0.6560 0.9413
0.9066 0.8132 0.4408
0.0000 0.0000 0.0000
0.0934 0.1868 0.5592
```

Properties
Calculated volume: 35.21 A^3/atom
Total magnetization: 0.00 μB per formula unit
Calculated total energy: -3.367 eV/atom
Formation energy from raw total energies: -0.303 eV/atom
Fermi-level density of states: 0.285 states/eV per atom

***

Entry 3:
Computed, not measured: a relaxed structure of NaGe2Te3 at the PBE level of DFT.

Cell and atoms, written as POSCAR:
```
NaGe2Te3
1.0
6.8340 0.0000 0.0000
0.0000 8.0876 0.3136
0.0000 -1.7488 7.9025
Te Ge Na
6 4 2
Direct
0.7500 0.1511 0.4071
0.7500 0.1619 0.8381
0.2500 0.8381 0.1619
0.7500 0.5929 0.8489
0.2500 0.8489 0.5929
0.2500 0.4071 0.1511
0.0000 0.8585 0.8585
0.5000 0.8585 0.8585
0.0000 0.1415 0.1415
0.5000 0.1415 0.1415
0.2500 0.2522 0.7478
0.7500 0.7478 0.2522
```

Properties
Calculated volume: 36.71 A^3/atom
Total magnetization: 0.00 μB per formula unit
Calculated total energy: -3.455 eV/atom
Formation energy from raw total energies: -0.125 eV/atom
Fermi-level density of states: 0.324 states/eV per atom

***

Entry 4:
Computed, not measured: a relaxed structure of Na2Ge3Te8 at the PBE level of DFT.

Cell and atoms, written as POSCAR:
```
Na2Ge3Te8
1.0
-5.2870 3.8238 -2.4888
1.8664 -2.4940 -7.7967
-4.4837 -6.1140 5.4031
Te Na Ge
8 2 3
Direct
0.5925 0.1140 0.7619
0.5925 0.6478 0.7619
0.8878 0.1132 0.2263
0.4075 0.8860 0.2381
0.4075 0.3522 0.2381
0.1122 0.8868 0.7737
0.1952 0.6550 0.3100
0.8048 0.3450 0.6900
0.6912 0.7413 0.4826
0.3088 0.2587 0.5174
0.0000 0.7964 0.0000
0.5000 0.0000 0.0000
0.0000 0.2036 0.0000
```

Properties
Calculated volume: 36.51 A^3/atom
Total magnetization: 0.00 μB per formula unit
Calculated total energy: -3.316 eV/atom
Formation energy from raw total energies: -0.114 eV/atom
Fermi-level density of states: 0.183 states/eV per atom